The following is a GGA+U calculation of a relaxed structure of NiPbSeO5, from Alexandria via LeMat-Bulk.

Unit cell a=6.592 b=6.592 c=7.015 alpha=90.00 beta=90.00 gamma=121.04
Fractional coordinates of all 16 atoms:
Pb1 0.000 0.000 0.000
Pb2 0.000 0.000 0.500
Se1 0.734 0.266 0.250
Se2 0.266 0.734 0.750
O1 0.359 0.030 0.750
O2 0.652 0.348 0.445
O3 0.348 0.652 0.945
O4 0.652 0.348 0.055
O5 0.348 0.652 0.555
O6 0.133 0.867 0.250
O7 0.867 0.133 0.750
O8 0.970 0.641 0.750
O9 0.641 0.970 0.250
O10 0.030 0.359 0.250
Ni1 0.298 0.702 0.250
Ni2 0.702 0.298 0.750

Output
**Crystal system**: orthorhombic
**Electronic total energy**: -5.0743 eV per atom